The following is a GGA-PBE calculation of an optimized crystal structure of CoMo4Pb, from Alexandria.

Formation enthalpy at 0 K (meV/atom): 703
Electronic total energy (eV/atom): -8.3206
D(E_F) (states/eV/f.u.): 8.2
Magnetic moment (Bohr magnetons per cell): 5.47

The structure in CIF format:
```
data_CoMo4Pb
_chemical_formula_sum 'Co4 Mo16 Pb4'
_space_group_name_H-M_alt 'F -4 3 m'
_space_group_IT_number 216
_space_group_name_Hall 'F -4 2 3'
_cell_length_a 7.467
_cell_length_b 7.467
_cell_length_c 7.467
_cell_angle_alpha 90.00
_cell_angle_beta 90.00
_cell_angle_gamma 90.00
loop_
_atom_site_label
_atom_site_fract_x
_atom_site_fract_y
_atom_site_fract_z
Co1 0.000 0.000 0.000
Mo1 0.126 0.126 0.626
Pb1 0.250 0.250 0.250
```